## A
## VCdN2F (PBE with a Hubbard U)

Data for a relaxed structure of VCdN2F.

Calculated values
- M_tot (μB per formula unit) = 0.0
- density of states at the Fermi level (states/eV per cell) = 1.54
- ρ (Mg/m³) = 5.899
- symmetry = No. 123

Cell and atoms, written as POSCAR:
```
VCdN2F
1.0
3.879 0.000 0.000
0.000 3.879 0.000
0.000 0.000 3.935
V Cd N F
1 1 2 1
Cartesian
0.000 0.000 0.000 V
1.940 1.940 1.967 Cd
0.000 1.940 0.000 N
1.940 0.000 0.000 N
0.000 0.000 1.967 F
```

***

## B
## VCdN2F (PBE with a Hubbard U)

Data for a relaxed structure of VCdN2F.

Calculated values
- M_tot (μB per formula unit) = 0.1
- density of states at the Fermi level (states/eV per cell) = 1.65
- ρ (Mg/m³) = 4.888
- symmetry = No. 123

Cell and atoms, written as POSCAR:
```
VCdN2F
1.0
-2.207 2.300 -2.632
-1.042 -3.404 -2.101
-3.376 -0.464 2.425
N F Cd V
2 1 1 1
Cartesian
-0.521 -1.702 -1.051 N
-1.103 1.150 -1.316 N
-1.688 -0.232 1.213 F
0.000 0.000 0.000 Cd
-3.312 -0.784 -1.154 V
```

***

Most stable pick: A. Distance to second place: 1537 meV per atom.